Entry 1:
Here is a relaxed structure of Tm2Ga6Tc from Alexandria via LeMat-Bulk. Energies are from PBE-GGA.

Cell lengths 6.195, 6.195, 6.193 Å; angles 59.97, 59.97, 59.97 degrees
Last column: magnetic moment on the atom in μB.
Sites, in units of the cell vectors:
Tm  0.250  0.250  0.250  0.04
Tm  0.750  0.750  0.750  0.04
Ga  0.216  0.216  0.784  0.01
Ga  0.216  0.784  0.216  0.01
Ga  0.784  0.216  0.784  0.01
Ga  0.784  0.216  0.216  0.01
Ga  0.216  0.784  0.784  0.01
Ga  0.784  0.784  0.216  0.01
Tc  0.500  0.500  0.500  0.72

symmetry = Fm-3m, No. 225
energy relative to the elements = -0.450 eV per atom
crystal system = cubic
E = -4.614 eV/atom

=====

Entry 2:
Here is a relaxed structure of Mn2Tl4I from Alexandria via LeMat-Bulk. Energies are from PBE-GGA.

Cell lengths 6.111, 6.111, 8.547 Å; angles 69.05, 69.05, 90.00 degrees
Last column: magnetic moment on the atom in μB.
Sites, in units of the cell vectors:
I  0.000  0.000  0.000  0.03
Tl  0.781  0.781  0.438  0.03
Tl  0.219  0.219  0.562  0.03
Tl  0.000  0.500  0.000  -0.01
Tl  0.500  0.000  0.000  -0.01
Mn  0.585  0.585  0.831  4.00
Mn  0.415  0.415  0.169  4.00

symmetry = I4/mmm, No. 139
E_form (uncorrected) = 710 meV/atom
crystal system = tetragonal
E = -3.484 eV/atom

=====

Entry 3:
Here is a relaxed structure of CrInSi from Alexandria via LeMat-Bulk. Energies are from PBE-GGA.

Cell lengths 4.048, 4.048, 3.543 Å; angles 90.00, 90.00, 120.00 degrees
Sites, in units of the cell vectors:
Cr  0.000  0.000  0.833
In  0.667  0.333  0.333
Si  0.333  0.667  0.833

symmetry = P-6m2, No. 187
E_form (uncorrected) = 348 meV/atom
crystal system = hexagonal
E = -5.580 eV/atom

=====

Entry 4:
Here is a relaxed structure of Cs2Rb2Hg from Alexandria via LeMat-Bulk. Energies are from PBE-GGA.

Cell lengths 10.090, 9.779, 9.779 Å; angles 114.93, 103.54, 103.54 degrees
Sites, in units of the cell vectors:
Cs  0.762  0.316  0.769
Cs  0.238  0.684  0.231
Cs  0.762  0.769  0.316
Cs  0.238  0.231  0.684
Rb  0.377  0.230  0.230
Rb  0.129  0.745  0.745
Rb  0.871  0.255  0.255
Rb  0.623  0.770  0.770
Hg  0.000  0.094  0.906
Hg  0.000  0.906  0.094

symmetry = C2/m, No. 12
energy relative to the elements = -0.099 eV per atom
crystal system = monoclinic
E = -0.887 eV/atom